Computed, not measured: a relaxed Tb4Tm7Zr crystal at the PBE level of DFT.

Lattice parameters (Å, degrees): 7.0430 9.3036 8.6448 81.07 89.99 40.82
Sites, in units of the cell vectors:
1 Tb 0.7838 0.2170 0.3250
2 Tb 0.5217 0.7247 0.3286
3 Tm 0.2765 0.2241 0.3362
4 Tm 0.0280 0.7260 0.3270
5 Tm 0.2560 0.5003 0.0004
6 Tm 0.5000 0.0000 0.0000
7 Tm 0.7235 0.7759 0.6638
8 Tb 0.2162 0.7830 0.6750
9 Zr 0.0000 0.0000 0.0000
10 Tb 0.4783 0.2753 0.6714
11 Tm 0.7440 0.4997 0.9996
12 Tm 0.9720 0.2740 0.6730

Computed properties:
The value obtained for the density of states at the Fermi level is 16.9 states/eV/f.u. The calculated volume is 359.7 Å³ per cell. The calculation puts the energy of formation from the pure elements at 0.61 kcal/mol of atoms.